This record from Alexandria describes crystalline NpPaIn2 at its relaxed geometry. The functional is PBE-GGA.

```
NpPaIn2
1.0
-2.695 1.254 0.775
-2.416 -0.270 -1.877
-4.946 -10.154 5.315
Pa In Np
1 2 1
Direct
0.000 0.000 0.000
0.089 0.089 0.734
0.911 0.911 0.266
0.500 0.500 0.500
```

Calculated values
Its formation energy is 0.342 eV per atom. As for the total DFT energy (no corrections): -6.636 eV per atom.